# 1
DFT (GGA-PBE) results for a relaxed structure of NbTcN2.

Results
The total energy comes out at -37.75 eV/f.u. The density of states at the Fermi level comes out at 0.755 states/eV/atom. The distance to the lowest polymorph of the same formula comes out at 97 meV/atom. The value obtained for the formation energy without anion corrections is -167 meV/atom. The value obtained for the density is 8.56 g/cm3. As for the crystal system: trigonal.

Geometry as CIF:
```
data_NbTcN2
_symmetry_space_group_name_H-M 'R 3 m'
_symmetry_Int_Tables_number 160
_symmetry_space_group_name_Hall 'R 3 -2"'
_cell_length_a 2.9402
_cell_length_b 2.9402
_cell_length_c 17.0082
_cell_angle_alpha 90.00
_cell_angle_beta 90.00
_cell_angle_gamma 120.00
loop_
_atom_site_label
_atom_site_type_symbol
_atom_site_fract_x
_atom_site_fract_y
_atom_site_fract_z
Nb1 Nb 0.0000 0.0000 0.0000
Tc1 Tc 0.0000 0.0000 0.8359
N1 N 0.0000 0.0000 0.4165
N2 N 0.0000 0.0000 0.5760
```

=====

# 2
DFT (GGA-PBE) results for a relaxed structure of Li2LuAl.

Results
The total energy comes out at -12.06 eV/f.u. The density of states at the Fermi level comes out at 1.174 states/eV/atom. The distance to the lowest polymorph of the same formula comes out at 142 meV/atom. The value obtained for the density is 4.17 g/cm3. As for the crystal system: tetragonal.

Geometry as CIF:
```
data_Li2LuAl
_symmetry_space_group_name_H-M 'P 4/m m m'
_symmetry_Int_Tables_number 123
_symmetry_space_group_name_Hall '-P 4 2'
_cell_length_a 4.241
_cell_length_b 4.241
_cell_length_c 4.774
_cell_angle_alpha 90.00
_cell_angle_beta 90.00
_cell_angle_gamma 90.00
loop_
_atom_site_label
_atom_site_type_symbol
_atom_site_fract_x
_atom_site_fract_y
_atom_site_fract_z
Li1 Li 0.000 0.500 0.000
Lu1 Lu 0.000 0.000 0.500
Al1 Al 0.500 0.500 0.500
```